Computed, not measured: a geometry-optimized MnAlFe2O6 structure at the GGA+U level of DFT.

Values from the calculation:
Mass density (g cm⁻³): 5.0
Density of states at the Fermi level (states/eV/f.u.): 0.00
SG: P1 (1)
E_tot (eV/atom): -6.82

abc: 4.9513 4.9473 5.3326
angles: 62.40 62.46 59.96
Last column: nearest neighbours and their distance in Å.
Sites, in units of the cell vectors:
O1 0.2161 0.9367 0.2451  1 Al 1.89, 2 Fe 1.98-1.99, 1 Mn 2.06
O2 0.4161 0.7147 0.7629  2 Fe 1.95-2.10, 1 Mn 1.96, 1 Al 1.97
O3 0.6030 0.2138 0.2467  1 Al 1.89, 2 Fe 1.98-2.00, 1 Mn 2.04
O4 0.1061 0.4172 0.7610  1 Mn 1.95, 2 Fe 1.95-2.10, 1 Al 1.97
O5 0.9360 0.6031 0.2458  1 Al 1.89, 2 Fe 1.99-2.00, 1 Mn 2.05
O6 0.7130 0.1068 0.7627  1 Mn 1.96, 2 Fe 1.96-2.10, 1 Al 1.96
Fe1 0.0149 0.0135 0.9584  6 O 1.95-2.00
Fe2 0.5210 0.5210 0.4370  6 O 1.98-2.10
Al1 0.3189 0.3184 0.0441  6 O 1.89-1.97
Mn1 0.8166 0.8163 0.5514  6 O 1.95-2.06